Record 1
Entry from the Alexandria database: an optimized crystal structure of PmTh3Tl4 (PBE).

The formation energy comes out at -202.8 meV per atom. The total magnetic moment comes out at 0.0 Bohr magnetons per cell. The volume is 233.1 Å³/cell.

The structure belongs to space group P4/mmm (No. 123); the cell edges are 3.5717, 3.5717 and 18.2718 Å and the angles 90.00°, 90.00° and 90.00°. The inequivalent atoms are Pm at (0.0000, 0.0000, 0.0000), Th at (0.0000, 0.0000, 0.2482), Th at (0.0000, 0.0000, 0.5000), Tl at (0.5000, 0.5000, 0.1221) and Tl at (0.5000, 0.5000, 0.3740).

Record 2
Entry from the Alexandria database: an optimized crystal structure of Pm12ThTl3 (PBE).

The formation energy comes out at -133.7 meV per atom. The total magnetic moment comes out at 0.0 Bohr magnetons per cell. The volume is 501.1 Å³/cell.

The structure belongs to space group P4/mmm (No. 123); the cell edges are 4.9843, 4.9843 and 20.1688 Å and the angles 90.00°, 90.00° and 90.00°. The inequivalent atoms are Pm at (0.0000, 0.0000, 0.0000), Pm at (0.0000, 0.0000, 0.2458), Pm at (0.0000, 0.0000, 0.5000), Pm at (0.0000, 0.5000, 0.1233), Pm at (0.0000, 0.5000, 0.3725), Th at (0.5000, 0.5000, 0.5000), Tl at (0.5000, 0.5000, 0.0000) and Tl at (0.5000, 0.5000, 0.2449).

Record 3
Entry from the Alexandria database: an optimized crystal structure of PmThTlZn (PBE).

The formation energy comes out at -198.6 meV per atom. The total magnetic moment comes out at 0.0 Bohr magnetons per cell. The volume is 437.3 Å³/cell.

The structure belongs to space group F-43m (No. 216); the cell edges are 7.5903, 7.5903 and 7.5903 Å and the angles 90.00°, 90.00° and 90.00°. The inequivalent atoms are Pm at (0.0000, 0.0000, 0.0000), Th at (0.0000, 0.0000, 0.5000), Tl at (0.2500, 0.2500, 0.2500) and Zn at (0.2500, 0.2500, 0.7500).

Record 4
Entry from the Alexandria database: an optimized crystal structure of Pm5Tm6Th (PBE).

The formation energy comes out at 23.9 meV per atom. The total magnetic moment comes out at 0.0 Bohr magnetons per cell. The volume is 767.7 Å³/cell.

The structure belongs to space group Immm (No. 71); the cell edges are 5.0830, 9.9034 and 15.2509 Å and the angles 90.00°, 90.00° and 90.00°. The inequivalent atoms are Pm at (0.0000, 0.0000, 0.0000), Pm at (0.0000, 0.0000, 0.3347), Pm at (0.0000, 0.5000, 0.3345), Tm at (0.0000, 0.2454, 0.5000), Tm at (0.0000, 0.2523, 0.1652) and Th at (0.0000, 0.5000, 0.0000).

Record 5
Entry from the Alexandria database: an optimized crystal structure of Pm3Tm3Th2 (PBE).

The formation energy comes out at 40.5 meV per atom. The total magnetic moment comes out at 0.0 Bohr magnetons per cell. The volume is 515.7 Å³/cell.

The structure belongs to space group C2/m (No. 12); the cell edges are 7.1601, 14.3104 and 6.1683 Å and the angles 90.00°, 125.32° and 90.00°. The inequivalent atoms are Pm at (0.0000, 0.0000, 0.0000), Pm at (0.0000, 0.3692, 0.5000), Tm at (0.0000, 0.1261, 0.5000), Tm at (0.0000, 0.5000, 0.0000) and Th at (0.0000, 0.2529, 0.0000).

Record 6
Entry from the Alexandria database: an optimized crystal structure of Pm8Tm3Th (PBE).

The formation energy comes out at 46.9 meV per atom. The total magnetic moment comes out at 0.0 Bohr magnetons per cell. The volume is 398.7 Å³/cell.

The structure belongs to space group P1 (No. 1); the cell edges are 3.5734, 8.4003 and 14.0372 Å and the angles 100.51°, 97.31° and 102.28°. The inequivalent atoms are Pm at (0.0000, 0.0000, 0.0000), Pm at (0.0147, 0.7069, 0.3229), Pm at (0.1330, 0.6957, 0.5729), Pm at (0.2456, 0.6670, 0.8269), Pm at (0.3727, 0.3474, 0.4013), Pm at (0.6304, 0.0188, 0.2444), Pm at (0.7493, 0.3426, 0.1563), Pm at (0.8792, 0.0185, 0.7440), Tm at (0.3652, 0.6544, 0.0768), Tm at (0.4983, 0.3413, 0.6572), Tm at (0.6265, 0.3443, 0.9119) and Th at (0.7606, 0.0271, 0.4938).

Record 7
Entry from the Alexandria database: an optimized crystal structure of Pm4Tm6Th (PBE).

The formation energy comes out at 168.8 meV per atom. The total magnetic moment comes out at 0.0 Bohr magnetons per cell. The volume is 710.2 Å³/cell.

The structure belongs to space group P4/mnc (No. 128); the cell edges are 8.6463, 8.6463 and 9.5005 Å and the angles 90.00°, 90.00° and 90.00°. The inequivalent atoms are Pm at (0.1471, 0.3529, 0.2500), Tm at (0.0000, 0.0000, 0.1631), Tm at (0.1399, 0.6595, 0.0000) and Th at (0.0000, 0.0000, 0.5000).

Record 8
Entry from the Alexandria database: an optimized crystal structure of Pm2Tm8Th3 (PBE).

The formation energy comes out at 266.9 meV per atom. The total magnetic moment comes out at 0.0 Bohr magnetons per cell. The volume is 877.8 Å³/cell.

The structure belongs to space group C2/m (No. 12); the cell edges are 14.7240, 9.2013 and 6.5764 Å and the angles 90.00°, 99.87° and 90.00°. The inequivalent atoms are Pm at (0.2188, 0.0000, 0.3029), Tm at (0.0791, 0.5000, 0.3640), Tm at (0.1122, 0.3211, 0.9385), Tm at (0.1970, 0.0000, 0.7918), Th at (0.0000, 0.0000, 0.0000) and Th at (0.0000, 0.1704, 0.5000).

Record 9
Entry from the Alexandria database: an optimized crystal structure of Pm12Tm3Th (PBE).

The formation energy comes out at 26.8 meV per atom. The total magnetic moment comes out at 0.0 Bohr magnetons per cell. The volume is 534.6 Å³/cell.

The structure belongs to space group P4/mmm (No. 123); the cell edges are 5.1155, 5.1155 and 20.4287 Å and the angles 90.00°, 90.00° and 90.00°. The inequivalent atoms are Pm at (0.0000, 0.0000, 0.0000), Pm at (0.0000, 0.0000, 0.2472), Pm at (0.0000, 0.0000, 0.5000), Pm at (0.0000, 0.5000, 0.1249), Pm at (0.0000, 0.5000, 0.3757), Tm at (0.5000, 0.5000, 0.0000), Tm at (0.5000, 0.5000, 0.2491) and Th at (0.5000, 0.5000, 0.5000).

Record 10
Entry from the Alexandria database: an optimized crystal structure of Pm6Tm3Th (PBE).

The formation energy comes out at 22.2 meV per atom. The total magnetic moment comes out at 0.0 Bohr magnetons per cell. The volume is 656.2 Å³/cell.

The structure belongs to space group P-1 (No. 2); the cell edges are 3.6108, 6.2072 and 29.3454 Å and the angles 93.93°, 90.00° and 90.04°. The inequivalent atoms are Pm at (0.0003, 0.2004, 0.0991), Pm at (0.0007, 0.6365, 0.4006), Pm at (0.0024, 0.8993, 0.2008), Pm at (0.0027, 0.2657, 0.2983), Pm at (0.4994, 0.6913, 0.0990), Pm at (0.4987, 0.8719, 0.5989), Tm at (0.4982, 0.2356, 0.7015), Tm at (0.4976, 0.6008, 0.7994), Tm at (0.5000, 0.0000, 0.0000), Tm at (0.5000, 0.5000, 0.5000), Th at (0.0000, 0.0000, 0.5000) and Th at (0.0000, 0.5000, 0.0000).